The following is a GGA-PBE calculation of LiPu2Np3N6 after structural relaxation, from Alexandria.

a = 14.821 Å, b = 3.455 Å, c = 6.867 Å
α = 90.00°, β = 103.39°, γ = 90.00°
Space group C2/m (No. 12)
Unique sites:
1 Li 0.000 0.000 0.000 x2
2 Pu 0.165 0.500 0.327 x4
3 Np 0.000 0.000 0.500 x2
4 Np 0.162 0.500 0.836 x4
5 N 0.004 0.500 0.724 x4
6 N 0.164 0.000 0.588 x4
7 N 0.173 0.000 0.076 x4

Summary:
DFT total energy	-10.97	eV/atom
total moment	1.8	μB/f.u.
crystal system	monoclinic
uncorrected formation energy	-1023	meV per atom

---

The following is a GGA-PBE calculation of Li2PuNp3N6 after structural relaxation, from Alexandria.

a = 13.706 Å, b = 3.532 Å, c = 6.179 Å
α = 90.00°, β = 90.69°, γ = 90.00°
Space group C2/m (No. 12)
Unique sites:
1 Li 0.132 0.000 0.257 x4
2 Pu 0.000 0.500 0.000 x2
3 Np 0.000 0.500 0.500 x2
4 Np 0.200 0.000 0.754 x4
5 N 0.021 0.000 0.742 x4
6 N 0.161 0.500 0.496 x4
7 N 0.167 0.500 0.998 x4

Summary:
DFT total energy	-9.93	eV/atom
total moment	13.0	μB/f.u.
crystal system	monoclinic
uncorrected formation energy	-1020	meV per atom

---

The following is a GGA-PBE calculation of Li3PuNp2N6 after structural relaxation, from Alexandria.

a = 14.158 Å, b = 3.453 Å, c = 6.370 Å
α = 90.00°, β = 96.41°, γ = 90.00°
Space group C2/m (No. 12)
Unique sites:
1 Li 0.000 0.000 0.000 x2
2 Li 0.175 0.500 0.344 x4
3 Pu 0.000 0.000 0.500 x2
4 Np 0.166 0.500 0.836 x4
5 N 0.015 0.500 0.736 x4
6 N 0.162 0.000 0.615 x4
7 N 0.179 0.000 0.063 x4

Summary:
DFT total energy	-8.91	eV/atom
total moment	7.0	μB/f.u.
crystal system	monoclinic
uncorrected formation energy	-914	meV per atom

---

The following is a GGA-PBE calculation of Li2PuNp2N6 after structural relaxation, from Alexandria.

a = 5.7891 Å, b = 5.7891 Å, c = 17.0038 Å
α = 90.00°, β = 90.00°, γ = 120.00°
Space group R-3m (No. 166, hexagonal axes)
Unique sites:
1 Li 0.0000 0.0000 0.0803 x6
2 Pu 0.0000 0.0000 0.5000 x3
3 Np 0.0000 0.0000 0.3171 x6
4 N 0.0454 0.5227 0.2631 x18

Summary:
DFT total energy	-8.94	eV/atom
total moment	6.0	μB/f.u.
crystal system	trigonal
uncorrected formation energy	-395	meV per atom

---

The following is a GGA-PBE calculation of LiPu2NpN5 after structural relaxation, from Alexandria.

a = 3.434 Å, b = 12.996 Å, c = 10.159 Å
α = 90.00°, β = 90.00°, γ = 90.00°
Space group Cmc2_1 (No. 36)
Unique sites:
1 Li 0.000 0.017 0.000 x4
2 Pu 0.000 0.371 0.833 x4
3 Pu 0.000 0.397 0.218 x4
4 Np 0.000 0.299 0.540 x4
5 N 0.000 0.003 0.300 x4
6 N 0.000 0.144 0.529 x4
7 N 0.000 0.199 0.904 x4
8 N 0.000 0.217 0.181 x4
9 N 0.000 0.445 0.587 x4

Summary:
DFT total energy	-10.35	eV/atom
total moment	9.0	μB/f.u.
crystal system	orthorhombic
uncorrected formation energy	-887	meV per atom

---

The following is a GGA-PBE calculation of RbLi2Np3N6 after structural relaxation, from Alexandria.

a = 14.662 Å, b = 3.465 Å, c = 7.894 Å
α = 90.00°, β = 107.30°, γ = 90.00°
Space group C2/m (No. 12)
Unique sites:
1 Rb 0.000 0.000 0.000 x2
2 Li 0.181 0.500 0.434 x4
3 Np 0.000 0.000 0.500 x2
4 Np 0.183 0.500 0.811 x4
5 N 0.020 0.500 0.677 x4
6 N 0.175 0.000 0.613 x4
7 N 0.180 0.000 0.980 x4

Summary:
DFT total energy	-8.61	eV/atom
total moment	6.0	μB/f.u.
crystal system	monoclinic
uncorrected formation energy	-813	meV per atom

---

The following is a GGA-PBE calculation of Li3Np3ReN8 after structural relaxation, from Alexandria.

a = 6.6302 Å, b = 6.6302 Å, c = 15.1625 Å
α = 90.00°, β = 90.00°, γ = 120.00°
Space group R-3m (No. 166, hexagonal axes)
Unique sites:
1 Li 0.0000 0.5000 0.0000 x9
2 Np 0.0000 0.5000 0.5000 x9
3 Re 0.0000 0.0000 0.5000 x3
4 N 0.0000 0.0000 0.2397 x6
5 N 0.0227 0.5113 0.2355 x18

Summary:
DFT total energy	-8.91	eV/atom
total moment	6.9	μB/f.u.
crystal system	trigonal
uncorrected formation energy	-665	meV per atom

---

The following is a GGA-PBE calculation of Li3Np2ReN6 after structural relaxation, from Alexandria.

a = 5.524 Å, b = 9.687 Å, c = 5.429 Å
α = 90.00°, β = 108.34°, γ = 90.00°
Space group C2/m (No. 12)
Unique sites:
1 Li 0.000 0.000 0.000 x2
2 Li 0.000 0.354 0.000 x4
3 Np 0.000 0.167 0.500 x4
4 Re 0.000 0.500 0.500 x2
5 N 0.233 0.338 0.718 x8
6 N 0.241 0.000 0.722 x4

Summary:
DFT total energy	-8.52	eV/atom
total moment	0.2	μB/f.u.
crystal system	monoclinic
uncorrected formation energy	-689	meV per atom